Record 1
The following is a DFT calculation (PBE-GGA) of a geometry-optimized Ni5Os4 structure.

The magnetic moment is 0.000 μB/atom. The volume comes out at 12.58 A^3/atom. The relative energy among the computed polymorphs is 0 meV per atom. The calculation puts the formation energy at 0.158 eV per atom.

Unit cell a=5.8143 b=5.8143 c=5.8143 alpha=95.92 beta=95.92 gamma=142.54
Closest atoms and distances in Å follow each position.
Element x y z (fractional)
Ni: 0.0000 0.0000 0.0000  4 Os 2.58, 8 Ni 2.62
Ni: 0.3328 0.3328 0.6655  6 Os 2.59-2.61, 6 Ni 2.60-2.62
Ni: 0.3328 0.6672 0.0000  6 Os 2.59-2.61, 6 Ni 2.60-2.62
Ni: 0.6672 0.3328 0.0000  6 Os 2.59-2.61, 6 Ni 2.60-2.62
Ni: 0.6672 0.6672 0.3345  6 Os 2.59-2.61, 6 Ni 2.60-2.62
Os: 0.0000 0.3316 0.3316  7 Ni 2.58-2.61, 5 Os 2.62-2.63
Os: 0.0000 0.6684 0.6684  7 Ni 2.58-2.61, 5 Os 2.62-2.63
Os: 0.3316 0.0000 0.3316  7 Ni 2.58-2.61, 5 Os 2.62-2.63
Os: 0.6684 0.0000 0.6684  7 Ni 2.58-2.61, 5 Os 2.62-2.63



Record 2
The following is a DFT calculation (PBE-GGA) of a geometry-optimized BaCaBr2 structure.

The magnetic moment is 0.000 μB/atom. The volume comes out at 31.66 A^3/atom. The relative energy among the computed polymorphs is 234 meV per atom. The energy relative to the elements, uncorrected is -1.210 eV per atom.

Unit cell a=5.4666 b=5.4666 c=4.2375 alpha=90.00 beta=90.00 gamma=90.00
Closest atoms and distances in Å follow each position.
Element x y z (fractional)
Ba: 0.0000 0.0000 0.0000  8 Br 3.46, 4 Ca 3.87
Ca: 0.5000 0.5000 0.0000  8 Br 3.46, 4 Ba 3.87
Br: 0.0000 0.5000 0.5000  4 Ca 3.46, 4 Ba 3.46, 4 Br 3.87
Br: 0.5000 0.0000 0.5000  4 Ca 3.46, 4 Ba 3.46, 4 Br 3.87



Record 3
The following is a DFT calculation (PBE-GGA) of a geometry-optimized Cd2CoAg structure.

The magnetic moment is 0.339 μB/atom. The volume comes out at 17.70 A^3/atom. The calculation puts the formation energy at 0.234 eV per atom.

Unit cell a=5.6923 b=5.6923 c=5.6923 alpha=149.45 beta=130.44 gamma=59.35
Closest atoms and distances in Å follow each position.
Element x y z (fractional)
Cd: 0.0000 0.0000 0.0000  2 Co 2.71, 4 Ag 2.85, 2 Cd 3.00
Cd: 0.7239 0.2239 0.5000  4 Co 2.82, 4 Cd 3.00-3.12, 2 Ag 3.06
Co: 0.2283 0.7283 0.5000  2 Ag 2.69, 6 Cd 2.71-2.82, 2 Co 3.00
Ag: 0.4537 0.4537 0.0000  2 Co 2.69, 4 Cd 2.85, 2 Ag 3.00



Record 4
The following is a DFT calculation (PBE-GGA) of a geometry-optimized V4Ge2H structure.

The magnetic moment is 0.000 μB/atom. The volume comes out at 12.59 A^3/atom. The relative energy among the computed polymorphs is 0 meV per atom.

Unit cell a=7.0281 b=7.0281 c=7.0281 alpha=149.71 beta=149.71 gamma=43.37
Closest atoms and distances in Å follow each position.
Element x y z (fractional)
V: 0.0000 0.5000 0.5000  2 H 1.84
V: 0.1634 0.1634 0.0000  1 H 2.13
V: 0.5000 0.0000 0.5000  2 H 1.84
V: 0.8366 0.8366 0.0000  1 H 2.13
Ge: 0.3564 0.3564 0.0000  9 V 2.52-2.62
Ge: 0.6436 0.6436 0.0000  9 V 2.52-2.62
H: 0.0000 0.0000 0.0000  4 V 1.84